# 1
{"formula": "Ce2MnAs4Pd3", "functional": "PBE-GGA", "state": "relaxed", "cell": [[4.407, 0.000, 0.000], [0.000, 4.407, 0.000], [0.000, 0.000, 10.046]], "species": ["Pd", "Pd", "As", "As", "As", "As", "Ce", "Pd", "Mn", "Ce"], "frac_coords": [[0.000, 0.000, 0.500], [0.500, 0.000, 0.876], [0.000, 0.500, 0.369], [0.500, 0.000, 0.631], [0.000, 0.000, 0.000], [0.500, 0.500, 0.000], [0.000, 0.500, 0.760], [0.000, 0.500, 0.124], [0.500, 0.500, 0.500], [0.500, 0.000, 0.240]], "ef_ev_per_atom": -0.763, "n_ef_per_ev_fu": 15.28, "crystal_system": "tetragonal", "total_energy_ev_per_cell": -62.8, "spacegroup": "P-4m2 (115)"}

***

# 2
{"formula": "Ce2MnAs4Rh3", "functional": "PBE-GGA", "state": "relaxed", "cell": [[4.275, 0.000, 0.000], [0.000, 4.275, 0.000], [0.000, 0.000, 9.808]], "species": ["As", "Mn", "Ce", "Rh", "As", "As", "Ce", "Rh", "As", "Rh"], "frac_coords": [[0.000, 0.500, 0.373], [0.500, 0.500, 0.500], [0.000, 0.500, 0.748], [0.000, 0.000, 0.500], [0.000, 0.000, 0.000], [0.500, 0.500, 0.000], [0.500, 0.000, 0.252], [0.000, 0.500, 0.123], [0.500, 0.000, 0.627], [0.500, 0.000, 0.877]], "ef_ev_per_atom": -0.825, "n_ef_per_ev_fu": 9.78, "crystal_system": "tetragonal", "total_energy_ev_per_cell": -69.9, "spacegroup": "P-4m2 (115)"}

***

Repeat the second record exactly.
{"formula": "Ce2MnAs4Rh3", "functional": "PBE-GGA", "state": "relaxed", "cell": [[4.275, 0.000, 0.000], [0.000, 4.275, 0.000], [0.000, 0.000, 9.808]], "species": ["As", "Mn", "Ce", "Rh", "As", "As", "Ce", "Rh", "As", "Rh"], "frac_coords": [[0.000, 0.500, 0.373], [0.500, 0.500, 0.500], [0.000, 0.500, 0.748], [0.000, 0.000, 0.500], [0.000, 0.000, 0.000], [0.500, 0.500, 0.000], [0.500, 0.000, 0.252], [0.000, 0.500, 0.123], [0.500, 0.000, 0.627], [0.500, 0.000, 0.877]], "ef_ev_per_atom": -0.825, "n_ef_per_ev_fu": 9.78, "crystal_system": "tetragonal", "total_energy_ev_per_cell": -69.9, "spacegroup": "P-4m2 (115)"}